Compound: Zr2SiTe
Source: Alexandria
Functional: PBE
Structure: optimized geometry

Cell and atoms, written as POSCAR:
```
Zr2SiTe
1.0
-4.661 -0.647 -8.041
-1.931 -2.502 -8.764
-4.542 -3.902 -7.138
Si Zr Te
1 2 1
Direct
0.504 0.504 0.504
0.243 0.243 0.243
0.002 0.002 0.002
0.751 0.751 0.751
```

Fermi-level density of states   0.64 states/eV/atom
ρ   6.23 g/cm3
VASP energy   -25.85 eV for the cell shown
SG   R3m
Formation energy without anion corrections   -48 meV per atom